The following is a PBE-GGA calculation of crystalline CaCd2P at its relaxed geometry, from Alexandria via LeMat-Bulk.

```
CaCd2P
1.0
4.053 0.995 0.000
-0.995 4.053 0.000
0.000 0.000 5.191
Ca Cd P
1 2 1
Direct
0.000 0.500 0.500
0.000 0.000 0.000
0.500 0.500 0.000
0.500 0.000 0.500
```

- DOS at the Fermi energy (states/eV per atom) = 0.476
- symmetry = P4/mmm, No. 123
- uncorrected energy (eV per atom) = -2.6591
- crystal system = tetragonal
- spin magnetization (μB per formula unit) = 0.00
- mass density (g/cm³) = 5.434
- V (Å³/atom) = 22.60

=====

The following is a PBE-GGA calculation of crystalline B3CS at its relaxed geometry, from Alexandria via LeMat-Bulk.

```
B3CS
1.0
3.706 0.000 0.000
0.000 3.706 0.000
0.000 0.000 3.706
S B C
1 3 1
Direct
0.000 0.000 0.000
0.000 0.500 0.000
0.500 0.000 0.000
0.000 0.000 0.500
0.500 0.500 0.500
```

- DOS at the Fermi energy (states/eV per atom) = 0.351
- symmetry = Pm-3m, No. 221
- crystal system = cubic
- spin magnetization (μB per formula unit) = 0.00
- mass density (g/cm³) = 2.496
- formation energy (no corrections) (eV/atom) = 2.669
- V (Å³/atom) = 10.18

=====

The following is a PBE-GGA calculation of crystalline NdPaRhN4 at its relaxed geometry, from Alexandria via LeMat-Bulk.

```
NdPaRhN4
1.0
-3.721 0.127 1.184
-0.939 -2.703 -2.660
3.470 -3.098 4.791
N Nd Rh Pa
4 1 1 1
Direct
0.482 0.982 0.963
0.832 0.832 0.663
0.188 0.188 0.375
0.982 0.482 0.963
0.647 0.647 0.295
0.006 0.006 0.011
0.365 0.365 0.729
```

- DOS at the Fermi energy (states/eV per atom) = 0.409
- symmetry = I4mm, No. 107
- crystal system = tetragonal
- spin magnetization (μB per formula unit) = 0.00
- mass density (g/cm³) = 9.561
- formation energy (no corrections) (eV/atom) = -0.732
- V (Å³/atom) = 13.25

=====

The following is a PBE-GGA calculation of crystalline HfCrC2 at its relaxed geometry, from Alexandria via LeMat-Bulk.

```
HfCrC2
1.0
-2.532 -0.552 -1.629
-0.059 -2.318 -1.998
-2.574 -4.132 2.525
C Cr Hf
2 1 1
Direct
0.094 0.094 0.719
0.239 0.239 0.283
0.495 0.495 0.515
0.672 0.672 0.983
```

- DOS at the Fermi energy (states/eV per atom) = 0.080
- symmetry = R3m, No. 160
- uncorrected energy (eV per atom) = -9.7548
- crystal system = trigonal
- spin magnetization (μB per formula unit) = 0.00
- mass density (g/cm³) = 10.033
- V (Å³/atom) = 10.53

=====

The following is a PBE-GGA calculation of crystalline Tm4GaAg2Hg at its relaxed geometry, from Alexandria via LeMat-Bulk.

```
Tm4GaAg2Hg
1.0
-4.496 0.458 2.334
-2.036 -3.994 2.403
1.687 1.065 8.583
Tm Ag Hg Ga
4 2 1 1
Direct
0.873 0.873 0.381
0.623 0.623 0.131
0.127 0.127 0.619
0.377 0.377 0.869
0.251 0.251 0.248
0.749 0.749 0.752
0.000 0.000 0.000
0.500 0.500 0.500
```

- DOS at the Fermi energy (states/eV per atom) = 0.480
- symmetry = R-3m, No. 166
- uncorrected energy (eV per atom) = -3.8066
- crystal system = trigonal
- spin magnetization (μB per formula unit) = 0.00
- mass density (g/cm³) = 10.363
- V (Å³/atom) = 23.27

=====

The following is a PBE-GGA calculation of crystalline Tl2CdAg2 at its relaxed geometry, from Alexandria via LeMat-Bulk.

```
Tl2CdAg2
1.0
-0.531 0.729 -7.492
-7.524 0.148 0.548
0.114 4.285 0.409
Tl Ag Cd
4 4 2
Direct
0.333 0.167 0.500
0.167 0.667 0.500
0.833 0.333 0.500
0.667 0.833 0.500
0.865 0.635 0.000
0.135 0.365 0.000
0.635 0.135 0.000
0.365 0.865 0.000
0.000 0.000 0.000
0.500 0.500 0.000
```

- DOS at the Fermi energy (states/eV per atom) = 0.360
- symmetry = P4/mbm, No. 127
- uncorrected energy (eV per atom) = -2.1728
- crystal system = tetragonal
- spin magnetization (μB per formula unit) = 0.00
- mass density (g/cm³) = 9.983
- V (Å³/atom) = 24.52